{"formula": "LaMo2AsO", "functional": "PBE+U", "state": "optimized geometry", "final_energy_ev_per_atom": -5.03, "magmom_total_mub_per_cell": 9.72, "space_group": "P4/mmm", "lattice": [[6.0996, 0.0000, 0.0000], [0.0000, 6.0996, 0.0000], [0.0000, 0.0000, 4.1701]], "species": ["La", "Mo", "Mo", "As", "O"], "frac_coords": [[0.0000, 0.0000, 0.0000], [0.0000, 0.5000, 0.0000], [0.5000, 0.0000, 0.0000], [0.5000, 0.5000, 0.5000], [0.0000, 0.0000, 0.5000]]}

---

{"formula": "LaMo2AsO", "functional": "PBE+U", "state": "optimized geometry", "final_energy_ev_per_atom": -5.02, "magmom_total_mub_per_cell": 9.88, "space_group": "P4/mmm", "lattice": [[5.0373, 0.0000, 0.0000], [0.0000, 5.0373, 0.0000], [0.0000, 0.0000, 5.9334]], "species": ["La", "Mo", "Mo", "As", "O"], "frac_coords": [[0.0000, 0.0000, 0.0000], [0.0000, 0.5000, 0.5000], [0.5000, 0.0000, 0.5000], [0.0000, 0.0000, 0.5000], [0.5000, 0.5000, 0.0000]]}